## Rb3MnNi2F9 (PBE with a Hubbard U)

Data for a relaxed structure of Rb3MnNi2F9.

Unit cell a=5.920 b=5.920 c=7.257 alpha=90.00 beta=90.00 gamma=120.00
Atoms (fractional coordinates):
Rb 0.000 0.000 0.000
Rb 0.333 0.667 0.669
Rb 0.667 0.333 0.331
Mn 0.000 0.000 0.500
Ni 0.333 0.667 0.163
Ni 0.667 0.333 0.837
F 0.000 0.500 0.000
F 0.171 0.342 0.327
F 0.171 0.829 0.327
F 0.342 0.171 0.673
F 0.500 0.000 0.000
F 0.500 0.500 0.000
F 0.658 0.829 0.327
F 0.829 0.171 0.673
F 0.829 0.658 0.673

Computed properties:
Uncorrected energy ... -4.71 eV per atom